## CsGa2Sb2 (PBE)

Data for crystalline CsGa2Sb2 at its relaxed geometry.

Fermi-level density of states: 2.5 states/eV per cell
crystal system: tetragonal
energy relative to the elements, uncorrected: -0.09 eV per atom
calculated volume: 330.64 Å³ per cell
excess energy over the best structure of this formula in the dataset: 217 meV/atom

Lattice parameters (Å, degrees): 9.264 9.264 3.852 90.00 90.00 90.00
Sites, in units of the cell vectors:
Cs: 0.000 0.000 0.000
Cs: 0.500 0.500 0.000
Ga: 0.131 0.369 0.000
Ga: 0.369 0.869 0.000
Ga: 0.631 0.131 0.000
Ga: 0.869 0.631 0.000
Sb: 0.114 0.614 0.500
Sb: 0.386 0.114 0.500
Sb: 0.614 0.886 0.500
Sb: 0.886 0.386 0.500